Entry from OQMD: BaHgO3 after structural relaxation (PBE-GGA).

a b c (Å): 6.524 6.524 6.524
angles (deg): 55.10 55.10 55.10
Fractional positions:
Ba: 0.126 0.126 0.126
Ba: 0.874 0.874 0.874
Hg: 0.343 0.343 0.343
Hg: 0.657 0.657 0.657
O: 0.055 0.683 0.485
O: 0.317 0.515 0.945
O: 0.485 0.055 0.683
O: 0.515 0.945 0.317
O: 0.683 0.485 0.055
O: 0.945 0.317 0.515

Values from the calculation:
Space group: No. 148
Total DFT energy (no corrections): -4.29 eV per atom


Entry from OQMD: TmHfNi after structural relaxation (PBE-GGA).

a b c (Å): 4.512 4.512 4.512
angles (deg): 60.00 60.00 60.00
Fractional positions:
Tm: 0.000 0.000 0.000
Hf: 0.500 0.500 0.500
Ni: 0.750 0.750 0.750

Values from the calculation:
Space group: No. 216
DFT formation energy: -0.02 eV per atom
Total DFT energy (no corrections): -6.68 eV per atom
Energy relative to the lowest polymorph listed for this composition: 0 meV/atom


The highest total DFT energy (no corrections) belongs to which entry?
BaHgO3